No. 1
Density functional theory data (GGA-PBE) for a relaxed LaNb2Co2 crystal.

formation energy = 0.155 eV per atom
E above lowest polymorph = 0.216 eV per atom
total magnetization = 1.49 Bohr magnetons per cell

```
data_LaNb2Co2
_chemical_formula_sum 'La2 Nb4 Co4'
_symmetry_space_group_name_H-M 'P 4/m b m'
_symmetry_Int_Tables_number 127
_symmetry_space_group_name_Hall '-P 4 2ab'
_cell_length_a 7.7017
_cell_length_b 7.7017
_cell_length_c 2.8921
_cell_angle_alpha 90.00
_cell_angle_beta 90.00
_cell_angle_gamma 90.00
loop_
_atom_site_label
_atom_site_type_symbol
_atom_site_fract_x
_atom_site_fract_y
_atom_site_fract_z
La1 La 0.0000 0.0000 0.0000
Nb1 Nb 0.1506 0.3494 0.0000
Co1 Co 0.1316 0.6316 0.5000
```

No. 2
Density functional theory data (GGA-PBE) for a relaxed Tb4Ho15Al crystal.

formation energy = -0.012 eV per atom
total magnetization = 0.00 Bohr magnetons per cell

```
data_Tb4Ho15Al
_chemical_formula_sum 'Tb4 Ho15 Al1'
_symmetry_space_group_name_H-M 'P 4/m m m'
_symmetry_Int_Tables_number 123
_symmetry_space_group_name_Hall '-P 4 2'
_cell_length_a 4.9285
_cell_length_b 4.9285
_cell_length_c 24.9267
_cell_angle_alpha 90.00
_cell_angle_beta 90.00
_cell_angle_gamma 90.00
loop_
_atom_site_label
_atom_site_type_symbol
_atom_site_fract_x
_atom_site_fract_y
_atom_site_fract_z
Tb1 Tb 0.0000 0.0000 0.1016
Tb2 Tb 0.0000 0.0000 0.3040
Ho1 Ho 0.0000 0.5000 0.0000
Ho2 Ho 0.0000 0.5000 0.2032
Ho3 Ho 0.0000 0.5000 0.4064
Ho4 Ho 0.5000 0.5000 0.1021
Ho5 Ho 0.5000 0.5000 0.3063
Ho6 Ho 0.5000 0.5000 0.5000
Al1 Al 0.0000 0.0000 0.5000
```

No. 3
Density functional theory data (GGA-PBE) for a relaxed LiBPt2 crystal.

formation energy = -0.210 eV per atom
total magnetization = 0.00 Bohr magnetons per cell

```
data_LiBPt2
_chemical_formula_sum 'Li1 B1 Pt2'
_symmetry_space_group_name_H-M 'P 4/m m m'
_symmetry_Int_Tables_number 123
_symmetry_space_group_name_Hall '-P 4 2'
_cell_length_a 3.9117
_cell_length_b 3.9117
_cell_length_c 2.9866
_cell_angle_alpha 90.00
_cell_angle_beta 90.00
_cell_angle_gamma 90.00
loop_
_atom_site_label
_atom_site_type_symbol
_atom_site_fract_x
_atom_site_fract_y
_atom_site_fract_z
Li1 Li 0.0000 0.0000 0.0000
B1 B 0.5000 0.5000 0.0000
Pt1 Pt 0.0000 0.5000 0.5000
```

No. 4
Density functional theory data (GGA-PBE) for a relaxed Ca2Ti2Si crystal.

raw formation energy = 0.67 eV per atom
total magnetization = 0.00 Bohr magnetons per cell

```
data_Ca2Ti2Si
_chemical_formula_sum 'Ca4 Ti4 Si2'
_symmetry_space_group_name_H-M 'I 4/m m m'
_symmetry_Int_Tables_number 139
_symmetry_space_group_name_Hall '-I 4 2'
_cell_length_a 4.0574
_cell_length_b 4.0574
_cell_length_c 14.0681
_cell_angle_alpha 90.00
_cell_angle_beta 90.00
_cell_angle_gamma 90.00
loop_
_atom_site_label
_atom_site_type_symbol
_atom_site_fract_x
_atom_site_fract_y
_atom_site_fract_z
Ca1 Ca 0.0000 0.5000 0.2500
Ti1 Ti 0.0000 0.0000 0.0705
Si1 Si 0.0000 0.0000 0.5000
```

No. 5
Density functional theory data (GGA-PBE) for a relaxed Ac11Tl9Zn4 crystal.

formation energy = -0.307 eV per atom
total magnetization = 0.00 Bohr magnetons per cell

```
data_Ac11Tl9Zn4
_chemical_formula_sum 'Ac22 Tl18 Zn8'
_symmetry_space_group_name_H-M 'C m m m'
_symmetry_Int_Tables_number 65
_symmetry_space_group_name_Hall '-C 2 2'
_cell_length_a 15.9782
_cell_length_b 24.0113
_cell_length_c 4.1176
_cell_angle_alpha 90.00
_cell_angle_beta 90.00
_cell_angle_gamma 90.00
loop_
_atom_site_label
_atom_site_type_symbol
_atom_site_fract_x
_atom_site_fract_y
_atom_site_fract_z
Ac1 Ac 0.0000 0.0000 0.0000
Ac2 Ac 0.0000 0.1644 0.0000
Ac3 Ac 0.0000 0.3646 0.0000
Ac4 Ac 0.2043 0.5000 0.0000
Ac5 Ac 0.2443 0.1705 0.0000
Tl1 Tl 0.0000 0.5000 0.5000
Tl2 Tl 0.1076 0.2606 0.5000
Tl3 Tl 0.1419 0.0730 0.5000
Zn1 Zn 0.1459 0.4032 0.5000
```

No. 6
Density functional theory data (GGA-PBE) for a relaxed CrP2OsCl crystal.

E above lowest polymorph = 0.000 eV per atom
raw formation energy = 1.19 eV per atom
total magnetization = 4.40 Bohr magnetons per cell

```
data_CrP2OsCl
_chemical_formula_sum 'Cr1 P2 Os1 Cl1'
_symmetry_space_group_name_H-M 'P 4/m m m'
_symmetry_Int_Tables_number 123
_symmetry_space_group_name_Hall '-P 4 2'
_cell_length_a 4.5136
_cell_length_b 4.5136
_cell_length_c 4.4537
_cell_angle_alpha 90.00
_cell_angle_beta 90.00
_cell_angle_gamma 90.00
loop_
_atom_site_label
_atom_site_type_symbol
_atom_site_fract_x
_atom_site_fract_y
_atom_site_fract_z
Cr1 Cr 0.0000 0.0000 0.0000
P1 P 0.0000 0.5000 0.0000
Os1 Os 0.5000 0.5000 0.5000
Cl1 Cl 0.0000 0.0000 0.5000
```

No. 7
Density functional theory data (GGA-PBE) for a relaxed DyBiO3 crystal.

raw formation energy = -2.37 eV per atom
total magnetization = 0.00 Bohr magnetons per cell

```
data_DyBiO3
_chemical_formula_sum 'Dy4 Bi4 O12'
_symmetry_space_group_name_H-M 'C 1 2/m 1'
_symmetry_Int_Tables_number 12
_symmetry_space_group_name_Hall '-C 2y'
_cell_length_a 12.2403
_cell_length_b 4.0175
_cell_length_c 6.7827
_cell_angle_alpha 90.00
_cell_angle_beta 96.78
_cell_angle_gamma 90.00
loop_
_atom_site_label
_atom_site_type_symbol
_atom_site_fract_x
_atom_site_fract_y
_atom_site_fract_z
Dy1 Dy 0.1295 0.0000 0.4132
Bi1 Bi 0.1334 0.5000 0.8616
O1 O 0.0488 0.0000 0.7095
O2 O 0.1719 0.5000 0.5371
O3 O 0.1867 0.0000 0.1040
```

No. 8
Density functional theory data (GGA-PBE) for a relaxed Ga2NiH crystal.

E above lowest polymorph = 0.000 eV per atom
total magnetization = 0.15 Bohr magnetons per cell

```
data_Ga2NiH
_chemical_formula_sum 'Ga8 Ni4 H4'
_symmetry_space_group_name_H-M 'F m -3 m'
_symmetry_Int_Tables_number 225
_symmetry_space_group_name_Hall '-F 4 2 3'
_cell_length_a 5.7735
_cell_length_b 5.7735
_cell_length_c 5.7735
_cell_angle_alpha 90.00
_cell_angle_beta 90.00
_cell_angle_gamma 90.00
loop_
_atom_site_label
_atom_site_type_symbol
_atom_site_fract_x
_atom_site_fract_y
_atom_site_fract_z
Ga1 Ga 0.2500 0.2500 0.2500
Ni1 Ni 0.0000 0.0000 0.0000
H1 H 0.0000 0.0000 0.5000
```

No. 9
Density functional theory data (GGA-PBE) for a relaxed Tb2YAg crystal.

formation energy = -0.010 eV per atom
E above lowest polymorph = 0.118 eV per atom
total magnetization = 0.00 Bohr magnetons per cell

```
data_Tb2YAg
_chemical_formula_sum 'Tb6 Y3 Ag3'
_symmetry_space_group_name_H-M 'R 3 m'
_symmetry_Int_Tables_number 160
_symmetry_space_group_name_Hall 'R 3 -2"'
_cell_length_a 3.6042
_cell_length_b 3.6042
_cell_length_c 31.1752
_cell_angle_alpha 90.00
_cell_angle_beta 90.00
_cell_angle_gamma 120.00
loop_
_atom_site_label
_atom_site_type_symbol
_atom_site_fract_x
_atom_site_fract_y
_atom_site_fract_z
Tb1 Tb 0.0000 0.0000 0.0000
Tb2 Tb 0.0000 0.0000 0.1839
Y1 Y 0.0000 0.0000 0.7587
Ag1 Ag 0.0000 0.0000 0.5918
```

No. 10
Density functional theory data (GGA-PBE) for a relaxed Mg2ReW crystal.

formation energy = 0.239 eV per atom
E above lowest polymorph = 0.058 eV per atom
total magnetization = 0.00 Bohr magnetons per cell

```
data_Mg2ReW
_chemical_formula_sum 'Mg4 Re2 W2'
_symmetry_space_group_name_H-M 'C m m 2'
_symmetry_Int_Tables_number 35
_symmetry_space_group_name_Hall 'C 2 -2'
_cell_length_a 3.1499
_cell_length_b 4.6216
_cell_length_c 9.5359
_cell_angle_alpha 90.00
_cell_angle_beta 90.00
_cell_angle_gamma 90.00
loop_
_atom_site_label
_atom_site_type_symbol
_atom_site_fract_x
_atom_site_fract_y
_atom_site_fract_z
Mg1 Mg 0.0000 0.0000 0.0000
Mg2 Mg 0.0000 0.5000 0.2817
Re1 Re 0.0000 0.5000 0.7563
W1 W 0.0000 0.0000 0.5347
```

No. 11
Density functional theory data (GGA-PBE) for a relaxed Tl2PtW crystal.

formation energy = 0.837 eV per atom
E above lowest polymorph = 0.496 eV per atom
total magnetization = 0.01 Bohr magnetons per cell

```
data_Tl2PtW
_chemical_formula_sum 'Tl4 Pt2 W2'
_symmetry_space_group_name_H-M 'I -4 m 2'
_symmetry_Int_Tables_number 119
_symmetry_space_group_name_Hall 'I -4 -2'
_cell_length_a 4.0918
_cell_length_b 4.0918
_cell_length_c 9.3985
_cell_angle_alpha 90.00
_cell_angle_beta 90.00
_cell_angle_gamma 90.00
loop_
_atom_site_label
_atom_site_type_symbol
_atom_site_fract_x
_atom_site_fract_y
_atom_site_fract_z
Tl1 Tl 0.0000 0.0000 0.0000
Tl2 Tl 0.0000 0.5000 0.2500
Pt1 Pt 0.0000 0.0000 0.5000
W1 W 0.0000 0.5000 0.7500
```